(1)
## Sm4GaTe2Cl (PBE-GGA)

Data for crystalline Sm4GaTe2Cl at its relaxed geometry.

Energy relative to the elements, uncorrected, eV/atom: -1.213

Cell: 4.3060 7.6165 7.3774 Å, 70.85 90.00 90.00°
Atoms (fractional coordinates):
Ga 0.0000 0.5000 0.5000
Sm 0.0000 0.7284 0.7443
Sm 0.5000 0.2745 0.7340
Te 0.5000 0.0000 0.5000
Sm 0.5000 0.7255 0.2660
Cl 0.5000 0.5000 0.0000
Sm 0.0000 0.2716 0.2557
Te 0.0000 0.0000 0.0000

---

(2)
## Cs2CdNiH6 (PBE-GGA)

Data for crystalline Cs2CdNiH6 at its relaxed geometry.

Cell: 6.3318 6.3320 6.3163 Å, 120.07 120.07 89.99°
Atoms (fractional coordinates):
Ni 0.9999 0.0004 0.9998
Cd 0.5000 0.5003 0.0000
H 0.8281 0.8286 0.6561
H 0.1717 0.1722 0.3434
H 0.8289 0.1714 0.9997
Cs 0.7499 0.2504 0.4999
H 0.8290 0.8295 0.9999
H 0.1708 0.8295 0.9997
Cs 0.2499 0.7503 0.4999
H 0.1708 0.1713 0.9996

---

(3)
## Li3ScPb (PBE-GGA)

Data for crystalline Li3ScPb at its relaxed geometry.

Energy above the most stable polymorph in this dataset, eV per atom: 0.0000

Cell: 4.9895 4.9895 4.9895 Å, 90.00 90.00 90.00°
Atoms (fractional coordinates):
Pb 0.0000 0.0000 0.0000
Li 0.0000 0.5000 0.0000
Sc 0.5000 0.5000 0.5000
Li 0.0000 0.0000 0.5000
Li 0.5000 0.0000 0.0000

---

(4)
## ThSiPd (PBE-GGA)

Data for crystalline ThSiPd at its relaxed geometry.

Energy relative to the elements, uncorrected, eV/atom: -0.812

Cell: 3.9088 4.2232 7.7267 Å, 90.00 90.00 90.00°
Atoms (fractional coordinates):
Pd 0.8116 0.2162 0.2846
Th 0.3117 0.7162 0.1370
Th 0.3116 0.2162 0.6559
Pd 0.8116 0.7162 0.5083
Si 0.8117 0.2162 0.9691
Si 0.8116 0.7162 0.8238

---

(5)
## CsHg2BiS (PBE-GGA)

Data for crystalline CsHg2BiS at its relaxed geometry.

Energy relative to the elements, uncorrected, eV/atom: -0.238

Cell: 5.9890 5.9890 5.6033 Å, 90.00 90.00 90.00°
Atoms (fractional coordinates):
Cs 0.5000 0.5000 0.5000
Hg 0.5000 0.0000 0.0000
S 0.0000 0.0000 0.5000
Bi 0.0000 0.0000 0.0000
Hg 0.0000 0.5000 0.0000

---

(6)
## MoOsRh2 (PBE-GGA)

Data for crystalline MoOsRh2 at its relaxed geometry.

Energy above the most stable polymorph in this dataset, eV per atom: 0.1115

Cell: 4.7875 4.7875 4.7875 Å, 132.76 132.76 69.03°
Atoms (fractional coordinates):
Os 0.7500 0.2500 0.5000
Rh 0.5000 0.5000 0.0000
Rh 0.0000 0.0000 0.0000
Mo 0.2500 0.7500 0.5000

---

DFT total energy values (in Ry per atom) by entry order: -0.3651; -0.2182; -0.2115; -0.5015; -0.1567; -0.6812.